Ca2Nd2Y | PBE | relaxed

Cell lengths 9.5377, 9.5378, 3.9975 Å; angles 90.00, 90.00, 90.00 degrees
Last column: nearest neighbours and their distance in Å.
Atoms (fractional coordinates):
Nd (0.8735, 0.3735, 0.0000)  6 Ca 3.36-3.52, 1 Nd 3.41
Ca (0.1735, 0.3265, 0.5000)  6 Nd 3.36-3.52
Ca (0.6735, 0.1735, 0.5000)  6 Nd 3.36-3.52
Nd (0.6265, 0.8735, 0.0000)  6 Ca 3.36-3.52, 1 Nd 3.41
Nd (0.1265, 0.6265, 0.0000)  6 Ca 3.36-3.52, 1 Nd 3.41
Y (0.0000, 0.0000, 0.0000)  4 Nd 3.76, 2 Y 4.00, 8 Ca 4.05
Ca (0.8265, 0.6735, 0.5000)  6 Nd 3.36-3.52
Y (0.5000, 0.5000, 0.0000)  4 Nd 3.76, 2 Y 4.00, 8 Ca 4.05
Nd (0.3735, 0.1265, 0.0000)  6 Ca 3.36-3.52, 1 Nd 3.41
Ca (0.3265, 0.8265, 0.5000)  6 Nd 3.36-3.52

Properties
The calculation puts the formation energy at 0.217 eV/atom. Its magnetization is 0.0 μB per cell.